This record from Alexandria via LeMat-Bulk describes a geometry-optimized RbAg2AsI6 structure. The functional is PBE.

Lattice parameters (Å, degrees): 17.177 13.493 9.312 90.00 119.42 90.00
Space group C2/c (No. 15)
Inequivalent atoms, fractional coordinates:
Rb 0.000 0.172 0.250 x4
Ag 0.068 0.437 0.133 x8
As 0.000 0.207 0.750 x4
I 0.103 0.084 0.700 x8
I 0.125 0.415 0.485 x8
I 0.138 0.252 0.081 x8

Results
Total magnetic moment: 0.00 μB/atom
Mass density: 4.02 Mg/m³
Raw formation energy: -0.434 eV per atom


This record from Alexandria via LeMat-Bulk describes a geometry-optimized SmSnPd structure. The functional is PBE.

Lattice parameters (Å, degrees): 7.406 4.696 8.004 90.00 90.00 90.00
Space group Pnma (No. 62)
Inequivalent atoms, fractional coordinates:
Sm 0.011 0.250 0.203 x4
Sn 0.190 0.250 0.587 x4
Pd 0.203 0.750 0.416 x4

Results
Total magnetic moment: 0.00 μB/atom
Energy of formation: -0.9142 eV/atom
Mass density: 8.96 Mg/m³
DOS at the Fermi energy: 1.97 states/eV/f.u.


This record from Alexandria via LeMat-Bulk describes a geometry-optimized CePuPdO6 structure. The functional is PBE.

Lattice parameters (Å, degrees): 5.3839 5.3839 10.1932 90.00 90.00 120.00
Space group P-31c (No. 163)
Inequivalent atoms, fractional coordinates:
Ce 0.0000 0.0000 0.0000 x2
Pu 0.3333 0.6667 0.2500 x2
Pd 0.3333 0.6667 0.7500 x2
O 0.0010 0.3445 0.6343 x12

Results
Total magnetic moment: 0.46 μB/atom
Mass density: 7.61 Mg/m³
Raw formation energy: -2.224 eV per atom
DOS at the Fermi energy: 6.63 states/eV/f.u.


This record from Alexandria via LeMat-Bulk describes a geometry-optimized TlVCoCl6 structure. The functional is PBE.

Lattice parameters (Å, degrees): 6.328 10.949 7.125 90.00 90.44 90.00
Space group C2 (No. 5)
Inequivalent atoms, fractional coordinates:
Tl 0.000 0.000 0.000 x2
V 0.000 0.333 0.500 x2
Co 0.000 0.668 0.500 x2
Cl 0.121 0.497 0.695 x4
Cl 0.183 0.188 0.693 x4
Cl 0.192 0.815 0.691 x4

Results
Total magnetic moment: 0.54 μB/atom
Mass density: 3.55 Mg/m³
Raw formation energy: -0.943 eV per atom
DOS at the Fermi energy: 9.45 states/eV/f.u.


This record from Alexandria via LeMat-Bulk describes a geometry-optimized SmMgRuRh structure. The functional is PBE.

Lattice parameters (Å, degrees): 6.623 6.623 6.623 90.00 90.00 90.00
Space group F-43m (No. 216)
Inequivalent atoms, fractional coordinates:
Sm 0.000 0.000 0.000 x4
Mg 0.000 0.000 0.500 x4
Ru 0.250 0.250 0.750 x4
Rh 0.250 0.250 0.250 x4

Results
Total magnetic moment: 0.00 μB/atom
Energy of formation: -0.2842 eV/atom
Mass density: 8.66 Mg/m³
DOS at the Fermi energy: 2.69 states/eV/f.u.


This record from Alexandria via LeMat-Bulk describes a geometry-optimized MnFePt structure. The functional is PBE.

Lattice parameters (Å, degrees): 2.669 2.669 11.073 90.00 90.00 90.00
Space group I4mm (No. 107)
Inequivalent atoms, fractional coordinates:
Mn 0.000 0.000 0.000 x2
Fe 0.000 0.000 0.347 x2
Pt 0.000 0.000 0.675 x2

Results
Total magnetic moment: 0.07 μB/atom
Energy of formation: -0.0954 eV/atom
Mass density: 12.88 Mg/m³
DOS at the Fermi energy: 3.33 states/eV/f.u.


This record from Alexandria via LeMat-Bulk describes a geometry-optimized Pr7Ho4Er structure. The functional is PBE.

Lattice parameters (Å, degrees): 6.355 7.320 9.034 89.95 76.52 89.98
Space group P-1 (No. 2)
Inequivalent atoms, fractional coordinates:
Pr 0.000 0.000 0.000 x1
Pr 0.221 0.500 0.335 x2
Pr 0.280 0.751 0.666 x2
Pr 0.498 0.248 0.998 x2
Ho 0.220 0.000 0.336 x2
Ho 0.277 0.247 0.668 x2
Er 0.000 0.500 0.000 x1

Results
Total magnetic moment: 0.00 μB/atom
Energy of formation: 0.0086 eV/atom
Mass density: 7.37 Mg/m³
Energy above the most stable polymorph in this dataset: 0.0 kJ/mol of atoms
DOS at the Fermi energy: 15.58 states/eV/f.u.


This record from Alexandria via LeMat-Bulk describes a geometry-optimized LiBeRhF6 structure. The functional is PBE.

Lattice parameters (Å, degrees): 4.9260 4.9260 8.9461 90.00 90.00 120.00
Space group P-31c (No. 163)
Inequivalent atoms, fractional coordinates:
Li 0.0000 0.0000 0.0000 x2
Be 0.3333 0.6667 0.2500 x2
Rh 0.3333 0.6667 0.7500 x2
F 0.0354 0.3668 0.1374 x12

Results
Total magnetic moment: 0.02 μB/atom
Mass density: 4.11 Mg/m³
Raw formation energy: -2.312 eV per atom
DOS at the Fermi energy: 0.00 states/eV/f.u.


This record from Alexandria via LeMat-Bulk describes a geometry-optimized CsGaI4 structure. The functional is PBE.

Lattice parameters (Å, degrees): 7.575 12.047 7.731 90.00 98.65 90.00
Space group P2_1/m (No. 11)
Inequivalent atoms, fractional coordinates:
Cs 0.148 0.250 0.220 x2
Ga 0.372 0.750 0.276 x2
I 0.224 0.578 0.111 x4
I 0.287 0.250 0.736 x2
I 0.329 0.750 0.602 x2

Results
Total magnetic moment: 0.00 μB/atom
Mass density: 3.38 Mg/m³
Energy above the most stable polymorph in this dataset: 0.2 kJ/mol of atoms
Raw formation energy: -0.901 eV per atom
DOS at the Fermi energy: 0.00 states/eV/f.u.


This record from Alexandria via LeMat-Bulk describes a geometry-optimized ZrAg2Os structure. The functional is PBE.

Lattice parameters (Å, degrees): 2.8811 2.8811 29.5347 90.00 90.00 120.00
Space group R3m (No. 160, hexagonal axes)
Inequivalent atoms, fractional coordinates:
Zr 0.0000 0.0000 0.0000 x3
Ag 0.0000 0.0000 0.2446 x3
Ag 0.0000 0.0000 0.4952 x3
Os 0.0000 0.0000 0.7476 x3

Results
Total magnetic moment: 0.00 μB/atom
Energy of formation: 0.2873 eV/atom
Mass density: 11.67 Mg/m³
Energy above the most stable polymorph in this dataset: 20.6 kJ/mol of atoms
DOS at the Fermi energy: 4.56 states/eV/f.u.


This record from Alexandria via LeMat-Bulk describes a geometry-optimized UCoOs structure. The functional is PBE.

Lattice parameters (Å, degrees): 3.428 3.428 8.274 90.00 90.00 90.00
Space group I4mm (No. 107)
Inequivalent atoms, fractional coordinates:
U 0.000 0.000 0.000 x2
Co 0.000 0.000 0.660 x2
Os 0.000 0.000 0.324 x2

Results
Total magnetic moment: 0.00 μB/atom
Energy of formation: 0.1726 eV/atom
Mass density: 16.64 Mg/m³
Energy above the most stable polymorph in this dataset: 34.3 kJ/mol of atoms
DOS at the Fermi energy: 4.57 states/eV/f.u.


What is the mass density in the second record?
8.96 Mg/m³